Entry 1:
Here is a PBEsol-optimized structure of CaBi2Mo from Alexandria via LeMat-Bulk. Energies are from SCAN.

abc: 8.127 8.127 6.596
angles: 90.00 90.00 90.00
Space group I-42d (No. 122)
Unique sites:
Ca1 0.000 0.000 0.000 x4
Bi1 0.212 0.250 0.625 x8
Mo1 0.000 0.000 0.500 x4

Output
Electronic total energy   -50.2026 eV per atom

Entry 2:
Here is a PBEsol-optimized structure of CaBi3Mo from Alexandria via LeMat-Bulk. Energies are from SCAN.

abc: 5.630 5.630 5.630
angles: 90.00 90.00 90.00
Space group Pm-3m (No. 221)
Unique sites:
Ca1 0.000 0.000 0.000 x1
Bi1 0.000 0.000 0.500 x3
Mo1 0.500 0.500 0.500 x1

Output
Electronic total energy   -54.7968 eV per atom

Entry 3:
Here is a PBEsol-optimized structure of CaBiMoO5 from Alexandria via LeMat-Bulk. Energies are from SCAN.

abc: 5.710 12.064 8.505
angles: 90.00 111.47 90.00
Space group P2_1/c (No. 14)
Unique sites:
Ca1 0.060 0.086 0.182 x4
Bi1 0.455 0.101 0.848 x4
Mo1 0.315 0.641 0.023 x4
O1 0.204 0.714 0.493 x4
O2 0.206 0.567 0.165 x4
O3 0.271 0.025 0.012 x4
O4 0.285 0.571 0.830 x4
O5 0.366 0.194 0.370 x4

Output
Uncorrected formation energy   -2.112 eV per atom

Entry 4:
Here is a PBEsol-optimized structure of CaSi2BiN from Alexandria via LeMat-Bulk. Energies are from SCAN.

abc: 4.289 4.289 4.976
angles: 90.00 90.00 90.00
Space group P4/mmm (No. 123)
Unique sites:
Ca1 0.000 0.000 0.000 x1
Si1 0.000 0.500 0.500 x2
Bi1 0.500 0.500 0.000 x1
N1 0.500 0.500 0.500 x1

Output
Uncorrected formation energy   0.489 eV per atom

Entry 5:
Here is a PBEsol-optimized structure of NaCaBi3 from Alexandria via LeMat-Bulk. Energies are from SCAN.

abc: 5.796 5.796 5.796
angles: 90.00 90.00 90.00
Space group Pm-3m (No. 221)
Unique sites:
Na1 0.000 0.000 0.000 x1
Ca1 0.500 0.500 0.500 x1
Bi1 0.000 0.500 0.500 x3

Output
Electronic total energy   -49.7321 eV per atom

Entry 6:
Here is a PBEsol-optimized structure of Na2CaBi from Alexandria via LeMat-Bulk. Energies are from SCAN.

abc: 4.622 4.622 24.168
angles: 90.00 90.00 90.00
Space group I-42d (No. 122)
Unique sites:
Na1 0.219 0.250 0.125 x8
Ca1 0.000 0.000 0.500 x4
Bi1 0.000 0.000 0.000 x4

Output
Electronic total energy   -24.4653 eV per atom

Entry 7:
Here is a PBEsol-optimized structure of NaCaBi2 from Alexandria via LeMat-Bulk. Energies are from SCAN.

abc: 7.737 7.737 7.737
angles: 90.00 90.00 90.00
Space group Fm-3m (No. 225)
Unique sites:
Na1 0.000 0.000 0.000 x4
Ca1 0.000 0.000 0.500 x4
Bi1 0.250 0.250 0.250 x8

Output
Electronic total energy   -43.3141 eV per atom

Entry 8:
Here is a PBEsol-optimized structure of NaCa2Nb8Bi9O36 from Alexandria via LeMat-Bulk. Energies are from SCAN.

abc: 5.467 24.894 5.527
angles: 90.00 90.13 90.00
Space group Pm (No. 6)
Unique sites:
Na1 0.000 0.000 0.000 x1
Ca1 0.493 0.500 0.992 x1
Ca2 0.977 0.500 0.493 x1
Nb1 0.479 0.418 0.526 x2
Nb2 0.496 0.084 0.023 x2
Nb3 0.988 0.083 0.528 x2
Nb4 0.992 0.418 0.026 x2
Bi1 0.009 0.201 0.956 x2
Bi2 0.457 0.200 0.454 x2
Bi3 0.494 0.000 0.479 x1
Bi4 0.511 0.302 0.953 x2
Bi5 0.958 0.302 0.455 x2
O1 0.061 0.157 0.539 x2
O2 0.071 0.500 0.079 x1
O3 0.173 0.412 0.358 x2
O4 0.201 0.063 0.269 x2
O5 0.225 0.252 0.228 x2
O6 0.244 0.252 0.728 x2
O7 0.280 0.065 0.760 x2
O8 0.296 0.412 0.858 x2
O9 0.398 0.500 0.578 x1
O10 0.406 0.157 0.057 x2
O11 0.565 0.345 0.552 x2
O12 0.566 0.000 0.077 x1
O13 0.676 0.086 0.357 x2
O14 0.692 0.439 0.264 x2
O15 0.725 0.249 0.228 x2
O16 0.744 0.250 0.729 x2
O17 0.777 0.439 0.764 x2
O18 0.792 0.092 0.850 x2
O19 0.901 0.000 0.575 x1
O20 0.904 0.345 0.052 x2

Output
Uncorrected formation energy   -2.218 eV per atom

Entry 9:
Here is a PBEsol-optimized structure of CaNb3Bi from Alexandria via LeMat-Bulk. Energies are from SCAN.

abc: 4.785 4.785 4.785
angles: 90.00 90.00 90.00
Space group Pm-3m (No. 221)
Unique sites:
Ca1 0.000 0.000 0.000 x1
Nb1 0.000 0.000 0.500 x3
Bi1 0.500 0.500 0.500 x1

Output
Electronic total energy   -35.4613 eV per atom

Entry 10:
Here is a PBEsol-optimized structure of CaNbBi3 from Alexandria via LeMat-Bulk. Energies are from SCAN.

abc: 5.495 5.495 5.495
angles: 90.00 90.00 90.00
Space group Pm-3m (No. 221)
Unique sites:
Ca1 0.000 0.000 0.000 x1
Nb1 0.500 0.500 0.500 x1
Bi1 0.000 0.500 0.500 x3

Output
Electronic total energy   -55.6285 eV per atom

Entry 11:
Here is a PBEsol-optimized structure of CaNb2BiPt from Alexandria via LeMat-Bulk. Energies are from SCAN.

abc: 4.917 4.917 5.320
angles: 90.00 90.00 90.00
Space group P4/mmm (No. 123)
Unique sites:
Ca1 0.000 0.000 0.000 x1
Nb1 0.000 0.500 0.500 x2
Bi1 0.500 0.500 0.000 x1
Pt1 0.000 0.000 0.500 x1

Output
Electronic total energy   -44.6687 eV per atom

Entry 12:
Here is a PBEsol-optimized structure of CaNiBi2 from Alexandria via LeMat-Bulk. Energies are from SCAN.

abc: 5.205 5.205 17.093
angles: 90.00 90.00 90.00
Space group I-42d (No. 122)
Unique sites:
Ca1 0.000 0.000 0.000 x4
Ni1 0.000 0.000 0.500 x4
Bi1 0.154 0.250 0.625 x8

Output
Electronic total energy   -45.7806 eV per atom

Entry 13:
Here is a PBEsol-optimized structure of CaNiBi2 from Alexandria via LeMat-Bulk. Energies are from SCAN.

abc: 7.206 7.206 7.206
angles: 90.00 90.00 90.00
Space group Fm-3m (No. 225)
Unique sites:
Ca1 0.000 0.000 0.000 x4
Ni1 0.000 0.000 0.500 x4
Bi1 0.250 0.250 0.250 x8

Output
Electronic total energy   -45.7475 eV per atom

Entry 14:
Here is a PBEsol-optimized structure of Ca3Bi2O7 from Alexandria via LeMat-Bulk. Energies are from SCAN.

abc: 20.123 5.802 6.044
angles: 90.00 90.00 90.00
Space group Cmc2_1 (No. 36)
Unique sites:
Ca1 0.000 0.227 0.000 x4
Ca2 0.197 0.240 0.876 x8
Bi1 0.104 0.256 0.444 x8
O1 0.000 0.394 0.368 x4
O2 0.076 0.059 0.752 x8
O3 0.137 0.445 0.147 x8
O4 0.205 0.128 0.502 x8

Output
Uncorrected formation energy   -2.109 eV per atom

Entry 15:
Here is a PBEsol-optimized structure of CaBi3O7 from Alexandria via LeMat-Bulk. Energies are from SCAN.

abc: 10.907 10.931 5.631
angles: 90.00 90.00 90.00
Space group Pnma (No. 62)
Unique sites:
Ca1 0.153 0.250 0.201 x4
Bi1 0.130 0.017 0.666 x8
Bi2 0.138 0.750 0.206 x4
O1 0.043 0.084 0.337 x8
O2 0.049 0.250 0.811 x4
O3 0.210 0.623 0.961 x8
O4 0.218 0.626 0.454 x8

Output
Uncorrected formation energy   -1.309 eV per atom

Entry 16:
Here is a PBEsol-optimized structure of Ca4Bi6O13 from Alexandria via LeMat-Bulk. Energies are from SCAN.

abc: 7.176 17.291 5.922
angles: 90.00 90.00 90.00
Space group Amm2 (No. 38)
Unique sites:
Ca1 0.248 0.216 0.000 x8
Bi1 0.000 0.110 0.444 x4
Bi2 0.272 0.000 0.920 x4
Bi3 0.500 0.111 0.440 x4
O1 0.000 0.000 0.797 x2
O2 0.000 0.220 0.287 x4
O3 0.249 0.150 0.648 x8
O4 0.258 0.090 0.159 x8
O5 0.500 0.221 0.290 x4

Output
Uncorrected formation energy   -1.893 eV per atom

Entry 17:
Here is a PBEsol-optimized structure of CaBi2O5 from Alexandria via LeMat-Bulk. Energies are from SCAN.

abc: 12.857 11.459 11.208
angles: 90.00 90.16 90.00
Space group C2/c (No. 15)
Unique sites:
Ca1 0.000 0.178 0.250 x4
Ca2 0.166 0.362 0.071 x8
Bi1 0.003 0.142 0.942 x8
Bi2 0.162 0.363 0.431 x8
Bi3 0.168 0.318 0.752 x8
O1 0.000 0.254 0.750 x4
O2 0.001 0.293 0.427 x8
O3 0.007 0.042 0.107 x8
O4 0.162 0.202 0.588 x8
O5 0.163 0.203 0.909 x8
O6 0.163 0.450 0.881 x8
O7 0.164 0.444 0.615 x8
O8 0.176 0.245 0.251 x8

Output
Uncorrected formation energy   -1.486 eV per atom
Energy above the lowest structure with this stoichiometry   75 meV per atom